Computed, not measured: GaPtCl2 after structural relaxation at the PBE level of DFT.

Unit cell a=5.346 b=5.346 c=15.012 alpha=90.00 beta=90.00 gamma=90.00
Space group I-42d (No. 122)
Inequivalent atoms, fractional coordinates:
Ga  0.000  0.000  0.000 (multiplicity 4)
Pt  0.000  0.000  0.500 (multiplicity 4)
Cl  0.166  0.250  0.625 (multiplicity 8)

## Properties
volume: 26.81 A^3/atom
E_form (uncorrected): 0.915 kcal/mol of atoms
DOS(E_F): 14.14 states/eV per cell
excess energy over the best structure of this formula in the dataset: 0.000 eV per atom